1.
## Pm4HRh2 (PBE)

Data for an optimized crystal structure of Pm4HRh2. Values from VASP.

## Properties
Calculated density ... 7.93 g/cm³
Total DFT energy (no corrections) ... -5.759 eV per atom
E above lowest polymorph ... 107.9 meV/atom

The structure in Quantum ESPRESSO input format:
```
&SYSTEM
  ibrav = 0, nat = 7, ntyp = 3
/
ATOMIC_SPECIES
Pm 145.00 Pm.upf
Rh 102.91 Rh.upf
H 1.01 H.upf
ATOMIC_POSITIONS crystal
Pm 0.191 0.191 0.382
Pm 0.000 0.500 0.000
Rh 0.625 0.625 0.250
H 0.000 0.000 0.000
Pm 0.809 0.809 0.618
Pm 0.500 0.000 0.000
Rh 0.375 0.375 0.750
CELL_PARAMETERS angstrom
4.766 0.000 0.000
0.000 4.766 0.000
-2.383 -2.383 7.258
```

---

2.
## Ba2Eu3Si7 (PBE)

Data for an optimized crystal structure of Ba2Eu3Si7. Values from VASP.

## Properties
Calculated density ... 5.04 g/cm³
Total DFT energy (no corrections) ... -6.562 eV per atom
Formation energy without anion corrections ... -590 kJ/mol of formula units

The structure in Quantum ESPRESSO input format:
```
&SYSTEM
  ibrav = 0, nat = 12, ntyp = 3
/
ATOMIC_SPECIES
Si 28.09 Si.upf
Ba 137.33 Ba.upf
Eu 151.96 Eu.upf
ATOMIC_POSITIONS crystal
Si 0.401 0.000 0.500
Ba 0.667 0.333 0.000
Si 0.599 0.599 0.500
Si 0.258 0.000 0.000
Si 0.000 0.000 0.000
Eu 0.000 0.747 0.500
Si 0.000 0.258 0.000
Si 0.000 0.401 0.500
Eu 0.747 0.000 0.500
Ba 0.333 0.667 0.000
Eu 0.253 0.253 0.500
Si 0.742 0.742 0.000
CELL_PARAMETERS angstrom
-7.188 2.592 -5.259
0.593 -8.735 3.066
-2.088 1.040 3.367
```